[1]
The following is a DFT calculation (PBE) of a geometry-optimized NaSi2Pd5 structure.

Unit cell a=6.458 b=6.458 c=6.458 alpha=145.98 beta=114.62 gamma=75.79
Fractional coordinates of all 8 atoms:
Na1 0.000 0.000 0.000
Si1 0.265 0.765 0.500
Si2 0.735 0.235 0.500
Pd1 0.147 0.349 0.797
Pd2 0.448 0.651 0.797
Pd3 0.500 0.000 0.500
Pd4 0.552 0.349 0.203
Pd5 0.853 0.651 0.203

Values from the calculation:
The value obtained for the raw formation energy is -52 kJ per mole of atoms.

[2]
The following is a DFT calculation (PBE) of a geometry-optimized NaSiPd2 structure.

Unit cell a=2.954 b=2.954 c=7.634 alpha=90.00 beta=90.00 gamma=90.00
Fractional coordinates of all 4 atoms:
Na1 0.000 0.000 0.000
Si1 0.000 0.000 0.500
Pd1 0.500 0.500 0.313
Pd2 0.500 0.500 0.687

Values from the calculation:
The value obtained for the raw formation energy is -40 kJ per mole of atoms.